This record from OQMD via LeMat-Bulk describes crystalline TmAgAs at its relaxed geometry. The functional is PBE.

Summary:
ρ: 8.0 Mg/m³
V: 73 Å³/cell
E_tot: -4.43 eV per atom
Magnetic moment: 0.00 μB/f.u.

a b c (Å): 4.6991 4.6991 4.6991
angles (deg): 60.00 60.00 60.00
Last column: nearest neighbours and their distance in Å.
Fractional positions:
As 0.7500 0.7500 0.7500  4 Tm 2.88
Ag 0.2500 0.2500 0.2500  4 Tm 2.88
Tm 0.0000 0.0000 0.0000  4 As 2.88, 4 Ag 2.88